Record 1
The following is a PBE calculation of a relaxed NaPmCdIn crystal, from the Alexandria database.

As for the symmetry: F-43m, No. 216. The calculation puts the spin magnetization at 0.000 μB per formula unit. As for the crystal system: cubic.

Cell lengths 5.324, 5.324, 5.324 Å; angles 60.00, 60.00, 60.00 degrees
Sites, in units of the cell vectors:
Na 0.000 0.000 0.000
Pm 0.500 0.500 0.500
Cd 0.250 0.250 0.250
In 0.750 0.750 0.750


Record 2
The following is a PBE calculation of a relaxed Na2Cd6InPt crystal, from the Alexandria database.

As for the symmetry: R-3m, No. 166. The calculation puts the spin magnetization at 0.000 μB per formula unit. As for the crystal system: trigonal.

Cell lengths 12.690, 12.690, 12.690 Å; angles 33.62, 33.62, 33.62 degrees
Sites, in units of the cell vectors:
Na 0.095 0.095 0.095
Na 0.277 0.277 0.277
Na 0.723 0.723 0.723
Na 0.905 0.905 0.905
Cd 0.069 0.677 0.677
Cd 0.222 0.222 0.643
Cd 0.222 0.643 0.222
Cd 0.323 0.323 0.931
Cd 0.323 0.931 0.323
Cd 0.357 0.778 0.778
Cd 0.643 0.222 0.222
Cd 0.677 0.069 0.677
Cd 0.677 0.677 0.069
Cd 0.778 0.357 0.778
Cd 0.778 0.778 0.357
Cd 0.931 0.323 0.323
In 0.426 0.426 0.426
In 0.574 0.574 0.574
Pt 0.000 0.000 0.000
Pt 0.500 0.500 0.500


Record 3
The following is a PBE calculation of a relaxed RbNaCd2In crystal, from the Alexandria database.

As for the symmetry: P4/mmm, No. 123. The calculation puts the spin magnetization at 0.000 μB per formula unit. As for the crystal system: tetragonal.

Cell lengths 5.724, 5.724, 5.995 Å; angles 90.00, 90.00, 90.00 degrees
Sites, in units of the cell vectors:
Rb 0.000 0.000 0.000
Na 0.500 0.500 0.000
Cd 0.000 0.500 0.500
Cd 0.500 0.000 0.500
In 0.500 0.500 0.500


Record 4
The following is a PBE calculation of a relaxed Rb2NaCdIn crystal, from the Alexandria database.

As for the symmetry: P4/mmm, No. 123. The calculation puts the spin magnetization at 0.000 μB per formula unit. As for the crystal system: tetragonal.

Cell lengths 7.035, 7.035, 5.619 Å; angles 90.00, 90.00, 90.00 degrees
Sites, in units of the cell vectors:
Rb 0.000 0.500 0.000
Rb 0.500 0.000 0.000
Na 0.000 0.000 0.500
Cd 0.500 0.500 0.000
In 0.500 0.500 0.500


Record 5
The following is a PBE calculation of a relaxed RbNa2Cd2In2 crystal, from the Alexandria database.

As for the symmetry: C2/m, No. 12. The calculation puts the spin magnetization at 0.000 μB per formula unit. As for the crystal system: monoclinic.

Cell lengths 5.217, 5.217, 10.028 Å; angles 105.41, 105.41, 60.10 degrees
Sites, in units of the cell vectors:
Rb 0.000 0.000 0.000
Na 0.138 0.138 0.412
Na 0.862 0.862 0.588
Cd 0.246 0.246 0.737
Cd 0.754 0.754 0.263
In 0.440 0.440 0.318
In 0.560 0.560 0.682


Record 6
The following is a PBE calculation of a relaxed RbNaCdIn2 crystal, from the Alexandria database.

As for the symmetry: P4/mmm, No. 123. The calculation puts the spin magnetization at 0.000 μB per formula unit. As for the crystal system: tetragonal.

Cell lengths 5.653, 5.653, 5.951 Å; angles 90.00, 90.00, 90.00 degrees
Sites, in units of the cell vectors:
Rb 0.000 0.000 0.000
Na 0.500 0.500 0.000
Cd 0.500 0.500 0.500
In 0.000 0.500 0.500
In 0.500 0.000 0.500


Record 7
The following is a PBE calculation of a relaxed Rb2Na5Cd2In crystal, from the Alexandria database.

As for the symmetry: P4/mbm, No. 127. The calculation puts the spin magnetization at 0.000 μB per formula unit. As for the crystal system: tetragonal.

Cell lengths 13.255, 13.255, 4.322 Å; angles 90.00, 90.00, 90.00 degrees
Sites, in units of the cell vectors:
Rb 0.174 0.326 0.000
Rb 0.326 0.826 0.000
Rb 0.674 0.174 0.000
Rb 0.826 0.674 0.000
Na 0.000 0.500 0.500
Na 0.061 0.810 0.500
Na 0.190 0.061 0.500
Na 0.310 0.561 0.500
Na 0.439 0.310 0.500
Na 0.500 0.000 0.500
Na 0.561 0.690 0.500
Na 0.690 0.439 0.500
Na 0.810 0.939 0.500
Na 0.939 0.190 0.500
Cd 0.127 0.627 0.000
Cd 0.373 0.127 0.000
Cd 0.627 0.873 0.000
Cd 0.873 0.373 0.000
In 0.000 0.000 0.000
In 0.500 0.500 0.000


Record 8
The following is a PBE calculation of a relaxed NaCdIn2S crystal, from the Alexandria database.

As for the symmetry: P4/mmm, No. 123. The calculation puts the spin magnetization at 0.000 μB per formula unit. The calculation puts the energy relative to the elements, uncorrected at 0.269 eV per atom. As for the crystal system: tetragonal.

Cell lengths 5.428, 5.428, 5.442 Å; angles 90.00, 90.00, 90.00 degrees
Sites, in units of the cell vectors:
Na 0.000 0.000 0.000
Cd 0.000 0.000 0.500
In 0.000 0.500 0.500
In 0.500 0.000 0.500
S 0.500 0.500 0.000


So what do the calculations give for uncorrected energy? Going down the list: -10.765; -17.646; -6.763; -6.299; -11.603; -8.324; -13.149; -10.492 eV per formula unit.